# KMoW2

A relaxed structure of KMoW2 (PBE, the Alexandria database).

Calculated values
Magnetic moment   1.92 μB/cell
Electronic total energy   -63.57 eV/cell
Relative energy among the computed polymorphs   0.7293 eV/atom
Formation energy from the elements   1.513 eV per atom
Crystal system   orthorhombic

The structure in CIF format:
```
data_KMoW2
_chemical_formula_sum 'K2 Mo2 W4'
_symmetry_space_group_name_H-M 'I m m m'
_symmetry_Int_Tables_number 71
_symmetry_space_group_name_Hall '-I 2 2'
_cell_length_a 2.856
_cell_length_b 5.352
_cell_length_c 10.468
_cell_angle_alpha 90.00
_cell_angle_beta 90.00
_cell_angle_gamma 90.00
loop_
_atom_site_label
_atom_site_fract_x
_atom_site_fract_y
_atom_site_fract_z
_atom_site_occupancy
K1 0.000 0.000 0.000 1
Mo1 0.000 0.000 0.500 1
W1 0.000 0.500 0.211 1
```

# K2MoW

A relaxed structure of K2MoW (PBE, the Alexandria database).

Calculated values
Magnetic moment   0.10 μB/cell
Electronic total energy   -36.34 eV/cell
Relative energy among the computed polymorphs   1.0415 eV/atom
Formation energy from the elements   1.953 eV per atom
Crystal system   tetragonal

The structure in CIF format:
```
data_K2MoW
_chemical_formula_sum 'K4 Mo2 W2'
_symmetry_space_group_name_H-M 'I -4 m 2'
_symmetry_Int_Tables_number 119
_symmetry_space_group_name_Hall 'I -4 -2'
_cell_length_a 5.063
_cell_length_b 5.063
_cell_length_c 7.172
_cell_angle_alpha 90.00
_cell_angle_beta 90.00
_cell_angle_gamma 90.00
loop_
_atom_site_label
_atom_site_fract_x
_atom_site_fract_y
_atom_site_fract_z
_atom_site_occupancy
K1 0.000 0.000 0.000 1
K2 0.000 0.500 0.250 1
Mo1 0.000 0.000 0.500 1
W1 0.000 0.500 0.750 1
```

# K2MoW

A relaxed structure of K2MoW (PBE, the Alexandria database).

Calculated values
Magnetic moment   0.00 μB/cell
Electronic total energy   -19.92 eV/cell
Relative energy among the computed polymorphs   0.6029 eV/atom
Formation energy from the elements   1.514 eV per atom
Crystal system   monoclinic

The structure in CIF format:
```
data_K2MoW
_chemical_formula_sum 'K2 Mo1 W1'
_symmetry_space_group_name_H-M 'P 1 2/m 1'
_symmetry_Int_Tables_number 10
_cell_length_a 2.726
_cell_length_b 6.275
_cell_length_c 5.202
_cell_angle_alpha 90.00
_cell_angle_beta 95.76
_cell_angle_gamma 90.00
loop_
_symmetry_equiv_pos_as_xyz
'x,y,z'
'-x,-y,-z'
'-x,y,-z'
'x,-y,z'
loop_
_atom_site_label
_atom_site_fract_x
_atom_site_fract_y
_atom_site_fract_z
_atom_site_occupancy
K1 0.248 0.000 0.250 1
Mo1 0.000 0.500 0.500 1
W1 0.500 0.500 0.000 1
```

# KMoW2

A relaxed structure of KMoW2 (PBE, the Alexandria database).

Calculated values
Magnetic moment   0.00 μB/cell
Electronic total energy   -30.98 eV/cell
Relative energy among the computed polymorphs   0.9315 eV/atom
Formation energy from the elements   1.715 eV per atom
Crystal system   orthorhombic

The structure in CIF format:
```
data_KMoW2
_chemical_formula_sum 'K1 Mo1 W2'
_symmetry_space_group_name_H-M 'P m m m'
_symmetry_Int_Tables_number 47
_cell_length_a 2.687
_cell_length_b 5.170
_cell_length_c 5.332
_cell_angle_alpha 90.00
_cell_angle_beta 90.00
_cell_angle_gamma 90.00
loop_
_symmetry_equiv_pos_as_xyz
'x,y,z'
'-x,-y,-z'
'-x,-y,z'
'x,y,-z'
'x,-y,-z'
'-x,y,z'
'-x,y,-z'
'x,-y,z'
loop_
_atom_site_label
_atom_site_fract_x
_atom_site_fract_y
_atom_site_fract_z
_atom_site_occupancy
K1 0.000 0.000 0.000 1
Mo1 0.500 0.500 0.000 1
W1 0.000 0.500 0.500 1
W2 0.500 0.000 0.500 1
```